Run one
! Hg5As4 | Alexandria via LeMat-Bulk | GGA-PBE | optimized geometry; values from VASP
! Fermi-level density of states   3.367 states/eV/cell
&SYSTEM
  ibrav = 0, nat = 9, ntyp = 2
/
ATOMIC_SPECIES
Hg 200.59 Hg.upf
As 74.92 As.upf
CELL_PARAMETERS angstrom
-5.708 5.708 1.698
5.708 -5.708 1.698
5.708 5.708 -1.698
ATOMIC_POSITIONS crystal
Hg 0.000 0.000 0.000
Hg 0.334 0.334 0.667
Hg 0.334 0.666 0.000
Hg 0.666 0.334 0.000
Hg 0.666 0.666 0.333
As 0.000 0.367 0.367
As 0.000 0.633 0.633
As 0.367 0.000 0.367
As 0.633 0.000 0.633

---

Run two
! Hg5As4 | Alexandria via LeMat-Bulk | GGA-PBE | optimized geometry; values from VASP
! Fermi-level density of states   8.256 states/eV/cell
&SYSTEM
  ibrav = 0, nat = 18, ntyp = 2
/
ATOMIC_SPECIES
Hg 200.59 Hg.upf
As 74.92 As.upf
CELL_PARAMETERS angstrom
9.798 0.000 0.000
-4.899 8.485 0.000
0.000 0.000 5.850
ATOMIC_POSITIONS crystal
Hg 0.000 0.244 0.250
Hg 0.000 0.756 0.750
Hg 0.244 0.000 0.250
Hg 0.244 0.244 0.750
Hg 0.333 0.667 0.000
Hg 0.333 0.667 0.500
Hg 0.667 0.333 0.000
Hg 0.667 0.333 0.500
Hg 0.756 0.000 0.750
Hg 0.756 0.756 0.250
As 0.000 0.000 0.000
As 0.000 0.000 0.500
As 0.000 0.495 0.750
As 0.000 0.505 0.250
As 0.495 0.000 0.750
As 0.495 0.495 0.250
As 0.505 0.000 0.250
As 0.505 0.505 0.750

---

Least stable of them? run two.

---

Run one
! HgAs | Alexandria via LeMat-Bulk | GGA-PBE | optimized geometry; values from VASP
! Fermi-level density of states   0.711 states/eV/cell
&SYSTEM
  ibrav = 0, nat = 4, ntyp = 2
/
ATOMIC_SPECIES
Hg 200.59 Hg.upf
As 74.92 As.upf
CELL_PARAMETERS angstrom
1.919 -7.829 0.000
1.919 7.829 0.000
0.000 0.000 3.531
ATOMIC_POSITIONS crystal
Hg 0.184 0.816 0.750
Hg 0.816 0.184 0.250
As 0.448 0.552 0.750
As 0.552 0.448 0.250

---

Run two
The following is a GGA-PBE calculation of a relaxed structure of HgAs, from Alexandria via LeMat-Bulk. Values from VASP.

The structure in Quantum ESPRESSO input format:
```
&SYSTEM
  ibrav = 0, nat = 4, ntyp = 2
/
ATOMIC_SPECIES
Hg 200.59 Hg.upf
As 74.92 As.upf
CELL_PARAMETERS angstrom
3.599 0.000 0.000
1.800 3.118 0.000
0.063 2.028 10.584
ATOMIC_POSITIONS crystal
Hg 0.212 0.072 0.138
Hg 0.788 0.928 0.862
As 0.354 0.790 0.566
As 0.646 0.210 0.434
```

---

Least stable of them? run one.

---

Run one
! HgAs | Alexandria via LeMat-Bulk | GGA-PBE | optimized geometry; values from VASP
! Fermi-level density of states   2.773 states/eV/cell
&SYSTEM
  ibrav = 0, nat = 8, ntyp = 2
/
ATOMIC_SPECIES
Hg 200.59 Hg.upf
As 74.92 As.upf
CELL_PARAMETERS angstrom
-5.982 5.982 1.891
5.982 -5.982 1.891
5.982 5.982 -1.891
ATOMIC_POSITIONS crystal
Hg 0.005 0.705 0.709
Hg 0.295 0.005 0.300
Hg 0.705 0.995 0.700
Hg 0.995 0.295 0.291
As 0.217 0.318 0.535
As 0.318 0.783 0.101
As 0.682 0.217 0.899
As 0.783 0.682 0.465

---

Run two
! HgAs | Alexandria via LeMat-Bulk | GGA-PBE | optimized geometry; values from VASP
! Fermi-level density of states   1.363 states/eV/cell
&SYSTEM
  ibrav = 0, nat = 4, ntyp = 2
/
ATOMIC_SPECIES
Hg 200.59 Hg.upf
As 74.92 As.upf
CELL_PARAMETERS angstrom
2.968 0.000 0.000
0.000 5.608 0.000
-0.202 0.000 5.566
ATOMIC_POSITIONS crystal
Hg 0.191 0.250 0.002
Hg 0.809 0.750 0.998
As 0.039 0.250 0.499
As 0.961 0.750 0.501

---

Run three
The following is a GGA-PBE calculation of a relaxed structure of HgAs, from Alexandria via LeMat-Bulk. Values from VASP.

The structure in Quantum ESPRESSO input format:
```
&SYSTEM
  ibrav = 0, nat = 4, ntyp = 2
/
ATOMIC_SPECIES
Hg 200.59 Hg.upf
As 74.92 As.upf
CELL_PARAMETERS angstrom
1.803 1.041 10.577
-1.803 1.041 10.577
0.000 -2.082 10.577
ATOMIC_POSITIONS crystal
Hg 0.120 0.120 0.120
Hg 0.880 0.880 0.880
As 0.355 0.355 0.355
As 0.645 0.645 0.645
```

---

Least stable of them? run two.

---

Run one
! HgAs | Alexandria via LeMat-Bulk | GGA-PBE | optimized geometry; values from VASP
! Fermi-level density of states   1.011 states/eV/cell
&SYSTEM
  ibrav = 0, nat = 4, ntyp = 2
/
ATOMIC_SPECIES
Hg 200.59 Hg.upf
As 74.92 As.upf
CELL_PARAMETERS angstrom
3.563 0.000 0.000
0.000 2.913 0.000
0.000 0.000 11.128
ATOMIC_POSITIONS crystal
Hg 0.250 0.000 0.128
Hg 0.750 0.000 0.872
As 0.250 0.500 0.424
As 0.750 0.500 0.576

---

Run two
! HgAs | Alexandria via LeMat-Bulk | GGA-PBE | optimized geometry; values from VASP
! Fermi-level density of states   0.771 states/eV/cell
&SYSTEM
  ibrav = 0, nat = 16, ntyp = 2
/
ATOMIC_SPECIES
Hg 200.59 Hg.upf
As 74.92 As.upf
CELL_PARAMETERS angstrom
6.823 0.000 0.000
0.000 7.611 0.000
0.000 0.000 8.262
ATOMIC_POSITIONS crystal
Hg 0.043 0.149 0.179
Hg 0.043 0.351 0.679
Hg 0.457 0.649 0.179
Hg 0.457 0.851 0.679
Hg 0.543 0.149 0.321
Hg 0.543 0.351 0.821
Hg 0.957 0.649 0.321
Hg 0.957 0.851 0.821
As 0.135 0.565 0.919
As 0.135 0.935 0.419
As 0.365 0.065 0.919
As 0.365 0.435 0.419
As 0.635 0.565 0.581
As 0.635 0.935 0.081
As 0.865 0.065 0.581
As 0.865 0.435 0.081

---

Run three
! HgAs | Alexandria via LeMat-Bulk | GGA-PBE | optimized geometry; values from VASP
! Fermi-level density of states   13.692 states/eV/cell
&SYSTEM
  ibrav = 0, nat = 12, ntyp = 2
/
ATOMIC_SPECIES
Hg 200.59 Hg.upf
As 74.92 As.upf
CELL_PARAMETERS angstrom
7.562 0.000 0.000
0.000 7.562 0.000
0.000 0.000 7.562
ATOMIC_POSITIONS crystal
Hg 0.000 0.250 0.500
Hg 0.000 0.750 0.500
Hg 0.250 0.500 0.000
Hg 0.500 0.000 0.250
Hg 0.500 0.000 0.750
Hg 0.750 0.500 0.000
As 0.000 0.500 0.250
As 0.000 0.500 0.750
As 0.250 0.000 0.500
As 0.500 0.250 0.000
As 0.500 0.750 0.000
As 0.750 0.000 0.500

---

Least stable of them? run three.

---

Run one
! HgAs | Alexandria via LeMat-Bulk | GGA-PBE | optimized geometry; values from VASP
! Fermi-level density of states   5.158 states/eV/cell
&SYSTEM
  ibrav = 0, nat = 8, ntyp = 2
/
ATOMIC_SPECIES
Hg 200.59 Hg.upf
As 74.92 As.upf
CELL_PARAMETERS angstrom
6.122 0.000 0.000
0.000 6.122 0.000
0.000 0.000 5.457
ATOMIC_POSITIONS crystal
Hg 0.179 0.179 0.000
Hg 0.321 0.679 0.500
Hg 0.679 0.321 0.500
Hg 0.821 0.821 0.000
As 0.142 0.142 0.500
As 0.358 0.642 0.000
As 0.642 0.358 0.000
As 0.858 0.858 0.500

---

Run two
! HgAs | Alexandria via LeMat-Bulk | GGA-PBE | optimized geometry; values from VASP
! Fermi-level density of states   0.883 states/eV/cell
&SYSTEM
  ibrav = 0, nat = 2, ntyp = 2
/
ATOMIC_SPECIES
Hg 200.59 Hg.upf
As 74.92 As.upf
CELL_PARAMETERS angstrom
1.531 0.884 5.481
-1.531 0.884 5.481
0.000 -1.767 5.481
ATOMIC_POSITIONS crystal
Hg 0.000 0.000 0.000
As 0.500 0.500 0.500

---

Run three
! HgAs | Alexandria via LeMat-Bulk | GGA-PBE | optimized geometry; values from VASP
! Fermi-level density of states   1.922 states/eV/cell
&SYSTEM
  ibrav = 0, nat = 4, ntyp = 2
/
ATOMIC_SPECIES
Hg 200.59 Hg.upf
As 74.92 As.upf
CELL_PARAMETERS angstrom
6.391 -1.753 0.000
6.391 1.753 0.000
-0.049 0.000 4.935
ATOMIC_POSITIONS crystal
Hg 0.115 0.115 0.497
Hg 0.885 0.885 0.503
As 0.319 0.319 0.000
As 0.681 0.681 0.000

---

Run four
! HgAs | Alexandria via LeMat-Bulk | GGA-PBE | optimized geometry; values from VASP
! Fermi-level density of states   1.789 states/eV/cell
&SYSTEM
  ibrav = 0, nat = 8, ntyp = 2
/
ATOMIC_SPECIES
Hg 200.59 Hg.upf
As 74.92 As.upf
CELL_PARAMETERS angstrom
4.921 0.000 0.000
-2.460 4.261 0.000
0.000 0.000 10.901
ATOMIC_POSITIONS crystal
Hg 0.000 0.000 0.250
Hg 0.000 0.000 0.750
Hg 0.333 0.667 0.250
Hg 0.667 0.333 0.750
As 0.333 0.667 0.009
As 0.333 0.667 0.491
As 0.667 0.333 0.509
As 0.667 0.333 0.991

---

Least stable of them? run two.

---

Run one
! HgAs | Alexandria via LeMat-Bulk | GGA-PBE | optimized geometry; values from VASP
! Fermi-level density of states   5.452 states/eV/cell
&SYSTEM
  ibrav = 0, nat = 12, ntyp = 2
/
ATOMIC_SPECIES
Hg 200.59 Hg.upf
As 74.92 As.upf
CELL_PARAMETERS angstrom
11.072 0.000 0.000
0.000 4.617 0.000
0.000 0.000 6.074
ATOMIC_POSITIONS crystal
Hg 0.000 0.054 0.000
Hg 0.200 0.423 0.270
Hg 0.300 0.577 0.770
Hg 0.500 0.946 0.500
Hg 0.700 0.577 0.770
Hg 0.800 0.423 0.270
As 0.000 0.821 0.402
As 0.160 0.046 0.655
As 0.340 0.954 0.155
As 0.500 0.179 0.902
As 0.660 0.954 0.155
As 0.840 0.046 0.655

---

Run two
! HgAs | Alexandria via LeMat-Bulk | GGA-PBE | optimized geometry; values from VASP
! Fermi-level density of states   1.076 states/eV/cell
&SYSTEM
  ibrav = 0, nat = 8, ntyp = 2
/
ATOMIC_SPECIES
Hg 200.59 Hg.upf
As 74.92 As.upf
CELL_PARAMETERS angstrom
0.000 4.444 8.031
3.361 0.000 8.031
3.361 4.444 0.000
ATOMIC_POSITIONS crystal
Hg 0.062 0.688 0.062
Hg 0.312 0.938 0.312
Hg 0.688 0.062 0.688
Hg 0.938 0.312 0.938
As 0.243 0.243 0.507
As 0.493 0.493 0.757
As 0.507 0.507 0.243
As 0.757 0.757 0.493

---

Run three
! HgAs | Alexandria via LeMat-Bulk | GGA-PBE | optimized geometry; values from VASP
! Fermi-level density of states   1.307 states/eV/cell
&SYSTEM
  ibrav = 0, nat = 4, ntyp = 2
/
ATOMIC_SPECIES
Hg 200.59 Hg.upf
As 74.92 As.upf
CELL_PARAMETERS angstrom
2.911 0.000 0.000
0.000 3.658 0.000
-1.203 0.000 9.728
ATOMIC_POSITIONS crystal
Hg 0.025 0.250 0.363
Hg 0.975 0.750 0.637
As 0.041 0.750 0.088
As 0.959 0.250 0.912

---

Least stable of them? run one.

---

Run one
! HgAs | Alexandria via LeMat-Bulk | GGA-PBE | optimized geometry; values from VASP
! Fermi-level density of states   3.293 states/eV/cell
&SYSTEM
  ibrav = 0, nat = 12, ntyp = 2
/
ATOMIC_SPECIES
Hg 200.59 Hg.upf
As 74.92 As.upf
CELL_PARAMETERS angstrom
10.697 0.000 0.000
-5.348 9.264 0.000
0.000 0.000 3.517
ATOMIC_POSITIONS crystal
Hg 0.147 0.295 0.250
Hg 0.147 0.853 0.250
Hg 0.295 0.147 0.750
Hg 0.705 0.853 0.250
Hg 0.853 0.147 0.750
Hg 0.853 0.705 0.750
As 0.089 0.545 0.250
As 0.455 0.545 0.250
As 0.455 0.911 0.250
As 0.545 0.089 0.750
As 0.545 0.455 0.750
As 0.911 0.455 0.750

---

Run two
! HgAs | Alexandria via LeMat-Bulk | GGA-PBE | optimized geometry; values from VASP
! Fermi-level density of states   2.539 states/eV/cell
&SYSTEM
  ibrav = 0, nat = 4, ntyp = 2
/
ATOMIC_SPECIES
Hg 200.59 Hg.upf
As 74.92 As.upf
CELL_PARAMETERS angstrom
4.212 0.000 0.000
-2.106 3.648 0.000
0.000 0.000 7.502
ATOMIC_POSITIONS crystal
Hg 0.333 0.667 0.000
Hg 0.667 0.333 0.500
As 0.333 0.667 0.651
As 0.667 0.333 0.151

---

Run three
! HgAs | Alexandria via LeMat-Bulk | GGA-PBE | optimized geometry; values from VASP
! Fermi-level density of states   1.730 states/eV/cell
&SYSTEM
  ibrav = 0, nat = 4, ntyp = 2
/
ATOMIC_SPECIES
Hg 200.59 Hg.upf
As 74.92 As.upf
CELL_PARAMETERS angstrom
-1.776 2.036 7.269
1.776 -2.036 7.269
1.776 2.036 -7.269
ATOMIC_POSITIONS crystal
Hg 0.327 0.077 0.250
Hg 0.673 0.923 0.750
As 0.058 0.308 0.750
As 0.942 0.692 0.250

---

Least stable of them? run two.

---

Run one
! Hg3As | Alexandria via LeMat-Bulk | GGA-PBE | optimized geometry; values from VASP
! Fermi-level density of states   5.434 states/eV/cell
&SYSTEM
  ibrav = 0, nat = 16, ntyp = 2
/
ATOMIC_SPECIES
Hg 200.59 Hg.upf
As 74.92 As.upf
CELL_PARAMETERS angstrom
6.072 0.000 0.000
-3.036 5.259 0.000
0.000 0.000 12.211
ATOMIC_POSITIONS crystal
Hg 0.000 0.500 0.000
Hg 0.000 0.500 0.500
Hg 0.165 0.331 0.250
Hg 0.165 0.835 0.250
Hg 0.331 0.165 0.750
Hg 0.500 0.000 0.000
Hg 0.500 0.000 0.500
Hg 0.500 0.500 0.000
Hg 0.500 0.500 0.500
Hg 0.669 0.835 0.250
Hg 0.835 0.165 0.750
Hg 0.835 0.669 0.750
As 0.000 0.000 0.000
As 0.000 0.000 0.500
As 0.333 0.667 0.750
As 0.667 0.333 0.250

---

Run two
! Hg3As | Alexandria via LeMat-Bulk | GGA-PBE | optimized geometry; values from VASP
! Fermi-level density of states   3.676 states/eV/cell
&SYSTEM
  ibrav = 0, nat = 8, ntyp = 2
/
ATOMIC_SPECIES
Hg 200.59 Hg.upf
As 74.92 As.upf
CELL_PARAMETERS angstrom
6.114 0.000 0.000
-3.057 5.295 0.000
0.000 0.000 5.989
ATOMIC_POSITIONS crystal
Hg 0.168 0.336 0.250
Hg 0.168 0.832 0.250
Hg 0.336 0.168 0.750
Hg 0.664 0.832 0.250
Hg 0.832 0.168 0.750
Hg 0.832 0.664 0.750
As 0.333 0.667 0.750
As 0.667 0.333 0.250

---

Run three
! Hg3As | Alexandria via LeMat-Bulk | GGA-PBE | optimized geometry; values from VASP
! Fermi-level density of states   2.815 states/eV/cell
&SYSTEM
  ibrav = 0, nat = 8, ntyp = 2
/
ATOMIC_SPECIES
Hg 200.59 Hg.upf
As 74.92 As.upf
CELL_PARAMETERS angstrom
3.408 -8.670 0.000
3.408 8.670 0.000
0.000 0.000 3.801
ATOMIC_POSITIONS crystal
Hg 0.056 0.423 0.750
Hg 0.069 0.931 0.750
Hg 0.423 0.056 0.250
Hg 0.577 0.944 0.750
Hg 0.931 0.069 0.250
Hg 0.944 0.577 0.250
As 0.455 0.545 0.750
As 0.545 0.455 0.250

---

Least stable of them? run two.